[1]
VASP calculation (PBE) on crystalline BaYVPb2 at its relaxed geometry.

Computed properties:
Spin magnetization   0.096 μB per atom
ΔE_f   28.5 kcal/mol of atoms

Lattice parameters (Å, degrees): 5.847 6.187 5.847 90.00 90.00 90.00
Positions (direct):
1 Pb 0.000 0.000 0.500
2 Pb 0.500 0.000 0.000
3 Y 0.000 0.000 0.000
4 Ba 0.000 0.500 0.000
5 V 0.500 0.500 0.500

---

[2]
VASP calculation (PBE) on crystalline AuSe2I2 at its relaxed geometry.

Computed properties:
Spin magnetization   0.222 μB per atom

Lattice parameters (Å, degrees): 7.677 7.677 6.838 90.00 90.00 90.00
Positions (direct):
1 I 0.188 0.688 0.000
2 I 0.688 0.812 0.000
3 I 0.812 0.312 0.000
4 I 0.312 0.188 0.000
5 Au 0.000 0.000 0.000
6 Au 0.500 0.500 0.000
7 Se 0.101 0.601 0.500
8 Se 0.601 0.899 0.500
9 Se 0.899 0.399 0.500
10 Se 0.399 0.101 0.500

---

Record order is preserved below.
VASP energy: -3.7484 -2.4505 eV/atom